[1]
Computed, not measured: an optimized crystal structure of CaIr4Os at the PBE-GGA level of DFT.

abc: 5.2216 5.2216 5.2216
angles: 60.00 60.00 60.00
Sites, in units of the cell vectors:
Ca1 0.0000 0.0000 0.0000
Ir1 0.1254 0.6249 0.6249
Ir2 0.6249 0.1254 0.6249
Ir3 0.6249 0.6249 0.1254
Ir4 0.6249 0.6249 0.6249
Os1 0.2500 0.2500 0.2500

- ΔH_f (0 K) (eV per atom) = 0.3428
- raw total energy (eV/atom) = -7.770
- space-group type = F-43m, No. 216


[2]
Computed, not measured: an optimized crystal structure of Zr8AlFe4 at the PBE-GGA level of DFT.

abc: 7.2683 7.2683 7.2683
angles: 97.88 97.88 136.53
Sites, in units of the cell vectors:
Zr1 0.0000 0.2130 0.2130
Zr2 0.0000 0.7870 0.7870
Zr3 0.1626 0.5000 0.6626
Zr4 0.2130 0.0000 0.2130
Zr5 0.5000 0.1626 0.6626
Zr6 0.5000 0.8374 0.3374
Zr7 0.7870 0.0000 0.7870
Zr8 0.8374 0.5000 0.3374
Al1 0.5000 0.5000 0.0000
Fe1 0.0000 0.0000 0.5000
Fe2 0.0000 0.5000 0.0000
Fe3 0.5000 0.0000 0.0000
Fe4 0.5000 0.5000 0.5000

- ΔH_f (0 K) (eV per atom) = 0.1075
- raw total energy (eV/atom) = -8.045
- space-group type = I4/mmm, No. 139


[3]
Computed, not measured: an optimized crystal structure of Cd2ReAu at the PBE-GGA level of DFT.

abc: 2.8086 4.7631 5.4601
angles: 90.00 95.30 90.00
Sites, in units of the cell vectors:
Cd1 0.2060 0.0000 0.2424
Cd2 0.7940 0.0000 0.7576
Re1 0.5000 0.5000 0.0000
Au1 0.0000 0.5000 0.5000

- ΔH_f (0 K) (eV per atom) = 0.5013
- raw total energy (eV/atom) = -3.888
- energy above the lowest structure with this stoichiometry (eV/f.u.) = 0.70
- space-group type = P2/m, No. 10


[4]
Computed, not measured: an optimized crystal structure of Ac3Hg2Au at the PBE-GGA level of DFT.

abc: 3.9918 3.9918 12.0685
angles: 90.00 90.00 90.00
Sites, in units of the cell vectors:
Ac1 0.0000 0.0000 0.0000
Ac2 0.0000 0.0000 0.3449
Ac3 0.0000 0.0000 0.6551
Hg1 0.5000 0.5000 0.1675
Hg2 0.5000 0.5000 0.8325
Au1 0.5000 0.5000 0.5000

- ΔH_f (0 K) (eV per atom) = -0.5800
- raw total energy (eV/atom) = -3.281
- energy above the lowest structure with this stoichiometry (eV/f.u.) = 0.00
- space-group type = P4/mmm, No. 123


[5]
Computed, not measured: an optimized crystal structure of CuAgSnHg at the PBE-GGA level of DFT.

abc: 6.8446 6.8446 6.8446
angles: 90.00 90.00 90.00
Sites, in units of the cell vectors:
Cu1 0.0000 0.0000 0.0000
Cu2 0.0000 0.5000 0.5000
Cu3 0.5000 0.0000 0.5000
Cu4 0.5000 0.5000 0.0000
Ag1 0.0000 0.0000 0.5000
Ag2 0.0000 0.5000 0.0000
Ag3 0.5000 0.0000 0.0000
Ag4 0.5000 0.5000 0.5000
Sn1 0.2500 0.2500 0.2500
Sn2 0.2500 0.7500 0.7500
Sn3 0.7500 0.2500 0.7500
Sn4 0.7500 0.7500 0.2500
Hg1 0.2500 0.2500 0.7500
Hg2 0.2500 0.7500 0.2500
Hg3 0.7500 0.2500 0.2500
Hg4 0.7500 0.7500 0.7500

- ΔH_f (0 K) (eV per atom) = 0.1948
- raw total energy (eV/atom) = -2.618
- space-group type = F-43m, No. 216


[6]
Computed, not measured: an optimized crystal structure of Ac2SiBiPt6 at the PBE-GGA level of DFT.

abc: 5.7137 8.7858 8.9727
angles: 90.00 90.00 90.00
Sites, in units of the cell vectors:
Ac1 0.2500 0.0028 0.2370
Ac2 0.2500 0.4972 0.2370
Ac3 0.7500 0.5028 0.7630
Ac4 0.7500 0.9972 0.7630
Si1 0.2500 0.7500 0.7317
Si2 0.7500 0.2500 0.2683
Bi1 0.2500 0.2500 0.7915
Bi2 0.7500 0.7500 0.2085
Pt1 0.0047 0.2500 0.4911
Pt2 0.0118 0.7500 0.9511
Pt3 0.2500 0.5009 0.6020
Pt4 0.2500 0.9991 0.6020
Pt5 0.4882 0.7500 0.9511
Pt6 0.4953 0.2500 0.4911
Pt7 0.5047 0.7500 0.5089
Pt8 0.5118 0.2500 0.0489
Pt9 0.7500 0.0009 0.3980
Pt10 0.7500 0.4991 0.3980
Pt11 0.9882 0.2500 0.0489
Pt12 0.9953 0.7500 0.5089

- raw total energy (eV/atom) = -6.263
- space-group type = Pmmn, No. 59
- raw formation energy (meV/atom) = -887


[7]
Computed, not measured: an optimized crystal structure of V2NiRh2 at the PBE-GGA level of DFT.

abc: 7.0633 7.0633 2.8188
angles: 90.00 90.00 90.00
Sites, in units of the cell vectors:
V1 0.1668 0.3332 0.0000
V2 0.3332 0.8332 0.0000
V3 0.6668 0.1668 0.0000
V4 0.8332 0.6668 0.0000
Ni1 0.0000 0.0000 0.5000
Ni2 0.5000 0.5000 0.5000
Rh1 0.1364 0.6364 0.5000
Rh2 0.3636 0.1364 0.5000
Rh3 0.6364 0.8636 0.5000
Rh4 0.8636 0.3636 0.5000

- ΔH_f (0 K) (eV per atom) = -0.1226
- raw total energy (eV/atom) = -7.867
- space-group type = P4/mbm, No. 127


[8]
Computed, not measured: an optimized crystal structure of MgInHg at the PBE-GGA level of DFT.

abc: 6.7518 6.7518 6.7518
angles: 90.00 90.00 90.00
Sites, in units of the cell vectors:
Mg1 0.0000 0.0000 0.0000
Mg2 0.0000 0.5000 0.5000
Mg3 0.5000 0.0000 0.5000
Mg4 0.5000 0.5000 0.0000
In1 0.0000 0.0000 0.5000
In2 0.0000 0.5000 0.0000
In3 0.5000 0.0000 0.0000
In4 0.5000 0.5000 0.5000
Hg1 0.2500 0.2500 0.2500
Hg2 0.2500 0.7500 0.7500
Hg3 0.7500 0.2500 0.7500
Hg4 0.7500 0.7500 0.2500

- ΔH_f (0 K) (eV per atom) = -0.0974
- raw total energy (eV/atom) = -1.642
- space-group type = F-43m, No. 216


[9]
Computed, not measured: an optimized crystal structure of Na2CeZnS4 at the PBE-GGA level of DFT.

abc: 7.9212 7.9212 7.5825
angles: 118.56 118.56 91.11
Sites, in units of the cell vectors:
Na1 0.0000 0.0000 0.0000
Na2 0.0000 0.0000 0.5000
Na3 0.0000 0.5000 0.0000
Na4 0.5000 0.0000 0.5000
Ce1 0.0000 0.5000 0.5000
Ce2 0.5000 0.0000 0.0000
Zn1 0.5000 0.5000 0.0000
Zn2 0.5000 0.5000 0.5000
S1 0.2463 0.7541 0.5110
S2 0.2459 0.7537 0.9890
S3 0.2818 0.2982 0.5392
S4 0.2982 0.2818 0.0392
S5 0.7018 0.7182 0.9608
S6 0.7182 0.7018 0.4608
S7 0.7541 0.2463 0.0110
S8 0.7537 0.2459 0.4890

- raw total energy (eV/atom) = -4.548
- space-group type = C2/c, No. 15
- raw formation energy (meV/atom) = -1254


[10]
Computed, not measured: an optimized crystal structure of AcPrMgRu at the PBE-GGA level of DFT.

abc: 7.5610 7.5610 7.5610
angles: 90.00 90.00 90.00
Sites, in units of the cell vectors:
Ac1 0.0000 0.0000 0.0000
Ac2 0.0000 0.5000 0.5000
Ac3 0.5000 0.0000 0.5000
Ac4 0.5000 0.5000 0.0000
Pr1 0.0000 0.0000 0.5000
Pr2 0.0000 0.5000 0.0000
Pr3 0.5000 0.0000 0.0000
Pr4 0.5000 0.5000 0.5000
Mg1 0.2500 0.2500 0.2500
Mg2 0.2500 0.7500 0.7500
Mg3 0.7500 0.2500 0.7500
Mg4 0.7500 0.7500 0.2500
Ru1 0.2500 0.2500 0.7500
Ru2 0.2500 0.7500 0.2500
Ru3 0.7500 0.2500 0.2500
Ru4 0.7500 0.7500 0.7500

- ΔH_f (0 K) (eV per atom) = 0.0354
- raw total energy (eV/atom) = -4.904
- space-group type = F-43m, No. 216


[11]
Computed, not measured: an optimized crystal structure of LaSbPb at the PBE-GGA level of DFT.

abc: 9.9196 9.9196 9.9196
angles: 29.35 29.35 29.35
Sites, in units of the cell vectors:
La1 0.0659 0.0659 0.0659
La2 0.9341 0.9341 0.9341
Sb1 0.3372 0.3372 0.3372
Sb2 0.6628 0.6628 0.6628
Pb1 0.1913 0.1913 0.1913
Pb2 0.8087 0.8087 0.8087

- raw total energy (eV/atom) = -4.728
- energy above the lowest structure with this stoichiometry (eV/f.u.) = 0.68
- space-group type = R-3m, No. 166
- raw formation energy (meV/atom) = -476


[12]
Computed, not measured: an optimized crystal structure of K2RbNbI8 at the PBE-GGA level of DFT.

abc: 7.0453 8.5342 10.6018
angles: 89.98 89.98 69.05
Sites, in units of the cell vectors:
K1 0.0010 0.9997 0.2343
K2 0.9990 0.0003 0.7657
Rb1 0.0000 0.5000 0.0000
Nb1 0.0000 0.5000 0.5000
I1 0.2260 0.7102 0.5002
I2 0.2573 0.3029 0.3147
I3 0.2570 0.3026 0.6854
I4 0.3025 0.7677 0.9996
I5 0.6975 0.2323 0.0004
I6 0.7430 0.6974 0.3146
I7 0.7427 0.6971 0.6853
I8 0.7740 0.2898 0.4998

- raw total energy (eV/atom) = -3.016
- space-group type = P-1, No. 2
- raw formation energy (meV/atom) = -880